RbSr2Hg2Pb2 | GGA-PBE | relaxed

Calculated values
V in Å³/cell: 805.8
E in eV/cell: -44.10

Unit cell a=5.3866 b=5.3866 c=32.0681 alpha=90.00 beta=90.00 gamma=120.00
With the nearest neighbours (Å) after each atom.
Space group R-3m (No. 166, hexagonal axes)
Symmetry-distinct sites (fractional):
1 Rb 0.0000 0.0000 0.0000 x3  6 Pb 4.09, 2 Sr 4.28
2 Sr 0.0000 0.0000 0.1334 x6  3 Hg 3.23, 3 Pb 3.51
3 Hg 0.0000 0.0000 0.4401 x6  3 Pb 3.20, 3 Sr 3.23
4 Pb 0.0000 0.0000 0.2507 x6  3 Hg 3.20, 3 Sr 3.51